Density functional theory data (PBE) for a geometry-optimized Ca2PuPN5 structure.

Cell lengths 3.309, 13.663, 11.080 Å; angles 90.00, 90.00, 90.00 degrees
Space group Cmc2_1 (No. 36)
Symmetry-distinct sites (fractional):
Ca 0.000 0.085 0.000 (multiplicity 4)
Ca 0.000 0.134 0.688 (multiplicity 4)
Pu 0.000 0.205 0.394 (multiplicity 4)
P 0.000 0.438 0.755 (multiplicity 4)
N 0.000 0.040 0.338 (multiplicity 4)
N 0.000 0.287 0.014 (multiplicity 4)
N 0.000 0.318 0.757 (multiplicity 4)
N 0.000 0.345 0.360 (multiplicity 4)
N 0.000 0.498 0.634 (multiplicity 4)

DOS(E_F), states/eV per atom: 0.41
Spin magnetization, μB per cell: 8.0
E_tot, eV per atom: -8.012
E_form (uncorrected), meV per atom: -749